A plane-wave DFT calculation with PBE-GGA was carried out for a geometry-optimized TmPuMg2Hg4 structure.

abc: 8.8444 8.8444 8.8444
angles: 33.38 33.38 33.38
Positions (direct):
Tm  0.0000  0.0000  0.0000
Pu  0.5000  0.5000  0.5000
Mg  0.2499  0.2499  0.2499
Mg  0.7501  0.7501  0.7501
Hg  0.1221  0.1221  0.1221
Hg  0.3731  0.3731  0.3731
Hg  0.6269  0.6269  0.6269
Hg  0.8779  0.8779  0.8779

Output
Calculated volume: 23.3 Å³ per atom
Calculated formation energy: -0.319 eV/atom
D(E_F): 13.5 states/eV per cell